# 1
! PBE-GGA PmEr2Sc, optimized geometry; values from VASP
&SYSTEM
  ibrav = 0, nat = 4, ntyp = 3
/
ATOMIC_SPECIES
Pm 145.00 Pm.upf
Er 167.26 Er.upf
Sc 44.96 Sc.upf
CELL_PARAMETERS angstrom
1.7571 1.0144 11.2076
-1.7571 1.0144 11.2076
0.0000 -2.0289 11.2076
ATOMIC_POSITIONS crystal
Pm 0.0000 0.0000 0.0000
Er 0.5787 0.5787 0.5787
Er 0.7535 0.7535 0.7535
Sc 0.1657 0.1657 0.1657
! - DFT formation energy: 0.043 eV per atom
! - Electronic total energy: -5.01 eV per atom

# 2
! PBE-GGA Pm8Er3Sc, optimized geometry; values from VASP
&SYSTEM
  ibrav = 0, nat = 12, ntyp = 3
/
ATOMIC_SPECIES
Pm 145.00 Pm.upf
Er 167.26 Er.upf
Sc 44.96 Sc.upf
CELL_PARAMETERS angstrom
-4.3268 4.3268 5.7855
4.3268 -4.3268 5.7855
4.3268 4.3268 -5.7855
ATOMIC_POSITIONS crystal
Pm 0.1145 0.1145 0.7458
Pm 0.2163 0.2163 0.4763
Pm 0.2600 0.7837 0.0000
Pm 0.3687 0.3687 0.2542
Pm 0.6313 0.8855 0.0000
Pm 0.7400 0.7400 0.5237
Pm 0.7837 0.2600 0.0000
Pm 0.8855 0.6313 0.0000
Er 0.2500 0.7500 0.5000
Er 0.5000 0.5000 0.0000
Er 0.7500 0.2500 0.5000
Sc 0.0000 0.0000 0.0000
! - DFT formation energy: 0.572 eV per atom
! - Electronic total energy: -4.26 eV per atom

# 3
! PBE-GGA Pm5ErSc2, optimized geometry; values from VASP
&SYSTEM
  ibrav = 0, nat = 16, ntyp = 3
/
ATOMIC_SPECIES
Pm 145.00 Pm.upf
Er 167.26 Er.upf
Sc 44.96 Sc.upf
CELL_PARAMETERS angstrom
-4.5126 4.5126 6.2365
4.5126 -4.5126 6.2365
4.5126 4.5126 -6.2365
ATOMIC_POSITIONS crystal
Pm 0.0000 0.0000 0.0000
Pm 0.0101 0.5101 0.2011
Pm 0.1909 0.9899 0.5000
Pm 0.3091 0.8091 0.7989
Pm 0.4899 0.6909 0.5000
Pm 0.5000 0.5000 0.0000
Pm 0.5101 0.3091 0.5000
Pm 0.6909 0.1909 0.2011
Pm 0.8091 0.0101 0.5000
Pm 0.9899 0.4899 0.7989
Er 0.2500 0.2500 0.0000
Er 0.7500 0.7500 0.0000
Sc 0.1471 0.3529 0.5000
Sc 0.3529 0.8529 0.2059
Sc 0.6471 0.1471 0.7941
Sc 0.8529 0.6471 0.5000
! - DFT formation energy: 0.132 eV per atom
! - Electronic total energy: -4.99 eV per atom

# 4
! PBE-GGA PmEr2Sc, optimized geometry; values from VASP
&SYSTEM
  ibrav = 0, nat = 4, ntyp = 3
/
ATOMIC_SPECIES
Pm 145.00 Pm.upf
Er 167.26 Er.upf
Sc 44.96 Sc.upf
CELL_PARAMETERS angstrom
3.0426 -1.7557 0.0000
3.0426 1.7557 0.0000
-2.0281 0.0000 11.2161
ATOMIC_POSITIONS crystal
Pm 0.0000 0.0000 0.0000
Er 0.4190 0.4190 0.2606
Er 0.5767 0.5767 0.7353
Sc 0.1648 0.1648 0.4966
! - DFT formation energy: 0.029 eV per atom
! - Electronic total energy: -5.02 eV per atom